[1]
{
  "formula": "NbV2Mo8",
  "functional": "PBE",
  "state": "relaxed",
  "dos_at_fermi_per_ev_fu": 10.80,
  "spacegroup": "No. 2",
  "magnetic_moment_mub_per_fu": 0.00,
  "e_form_ev_per_atom": 0.235,
  "energy_ev_per_atom": -10.215,
  "lattice": [[5.235, 0.000, 0.000], [1.766, 5.111, 0.000], [1.741, 1.222, 6.768]],
  "species": ["Nb", "V", "V", "Mo", "Mo", "Mo", "Mo", "Mo", "Mo", "Mo", "Mo"],
  "frac_coords": [[0.000, 0.000, 0.000], [0.083, 0.344, 0.658], [0.917, 0.656, 0.342], [0.085, 0.828, 0.662], [0.263, 0.464, 0.000], [0.412, 0.667, 0.330], [0.425, 0.160, 0.329], [0.575, 0.840, 0.671], [0.588, 0.333, 0.670], [0.737, 0.536, 0.000], [0.915, 0.172, 0.338]]
}

[2]
{
  "formula": "NbV2Mo4",
  "functional": "PBE",
  "state": "relaxed",
  "dos_at_fermi_per_ev_fu": 6.94,
  "spacegroup": "No. 139",
  "de_polymorph_ev_per_atom": 0.193,
  "magnetic_moment_mub_per_fu": 0.00,
  "e_form_ev_per_atom": 0.314,
  "energy_ev_per_atom": -9.919,
  "lattice": [[-3.232, 3.232, 2.727], [3.232, -3.232, 2.727], [3.232, 3.232, -2.727]],
  "species": ["Nb", "V", "V", "Mo", "Mo", "Mo", "Mo"],
  "frac_coords": [[0.000, 0.000, 0.000], [0.250, 0.750, 0.500], [0.750, 0.250, 0.500], [0.303, 0.303, 0.606], [0.303, 0.697, 0.000], [0.697, 0.303, 0.000], [0.697, 0.697, 0.394]]
}